No. 1
First-principles (PBE) data for a relaxed CaHo2CdAu4 crystal, as listed in Alexandria.

Cell lengths 4.9978, 4.9978, 8.6764 Å; angles 73.26, 73.26, 60.00 degrees
Sites, in units of the cell vectors:
Ho: 0.2443 0.2443 0.2670
Au: 0.8774 0.8774 0.3679
Ca: 0.0000 0.0000 0.0000
Ho: 0.7557 0.7557 0.7330
Cd: 0.5000 0.5000 0.5000
Au: 0.3728 0.3728 0.8815
Au: 0.1226 0.1226 0.6321
Au: 0.6272 0.6272 0.1185

Output
- total DFT energy (no corrections) (eV for the cell shown) = -31.140
- formation energy from the elements (eV/atom) = -0.7448



No. 2
First-principles (PBE) data for a relaxed SrMgScRu2 crystal, as listed in Alexandria.

Cell lengths 4.7926, 5.2749, 4.7926 Å; angles 90.00, 90.00, 90.00 degrees
Site moments in Bohr magnetons follow the coordinates.
Sites, in units of the cell vectors:
Ru: 0.0000 0.0000 0.5000  0.37
Sc: 0.0000 0.0000 0.0000  -0.04
Sr: 0.5000 0.5000 0.5000  -0.01
Mg: 0.0000 0.5000 0.0000  0.00
Ru: 0.5000 0.0000 0.0000  0.28

Output
- total DFT energy (no corrections) (eV for the cell shown) = -24.685
- energy relative to the lowest polymorph listed for this composition (kJ/mol of atoms) = 0.0
- formation energy from the elements (eV/atom) = 0.6949



No. 3
First-principles (PBE) data for a relaxed IrRuAu2 crystal, as listed in Alexandria.

Cell lengths 2.7794, 2.7794, 9.9102 Å; angles 90.00, 90.00, 120.28 degrees
Sites, in units of the cell vectors:
Ru: 0.5000 0.5000 0.7353
Ir: 0.0000 0.0000 0.5160
Au: 0.5000 0.5000 0.2588
Au: 0.0000 0.0000 0.9898

Output
- total DFT energy (no corrections) (eV for the cell shown) = -23.309
- energy relative to the lowest polymorph listed for this composition (kJ/mol of atoms) = 17.4
- formation energy from the elements (eV/atom) = 0.3457



No. 4
First-principles (PBE) data for a relaxed BeCd2Ru crystal, as listed in Alexandria.

Cell lengths 5.1938, 5.1938, 5.1938 Å; angles 142.67, 131.86, 62.45 degrees
Sites, in units of the cell vectors:
Ru: 0.7500 0.2500 0.5000
Be: 0.2500 0.7500 0.5000
Cd: 0.4766 0.4766 0.0000
Cd: 0.0234 0.0234 0.0000

Output
- total DFT energy (no corrections) (eV for the cell shown) = -13.475
- formation energy from the elements (eV/atom) = 0.3392



No. 5
First-principles (PBE) data for a relaxed YTeSe2 crystal, as listed in Alexandria.

Cell lengths 3.8884, 3.8884, 6.6678 Å; angles 90.00, 90.00, 90.00 degrees
Sites, in units of the cell vectors:
Se: 0.5000 0.5000 0.2432
Se: 0.0000 0.0000 0.9444
Y: 0.5000 0.5000 0.7981
Te: 0.0000 0.0000 0.5143

Output
- total DFT energy (no corrections) (eV for the cell shown) = -19.579



No. 6
First-principles (PBE) data for a relaxed DyMnCo2 crystal, as listed in Alexandria.

Cell lengths 3.2326, 4.3048, 4.3048 Å; angles 90.00, 90.00, 90.00 degrees
Site moments in Bohr magnetons follow the coordinates.
Sites, in units of the cell vectors:
Co: 0.0000 0.0000 0.5000  0.89
Mn: 0.5000 0.5000 0.5000  3.31
Co: 0.0000 0.5000 0.0000  0.89
Dy: 0.5000 0.0000 0.0000  -0.35

Output
- total DFT energy (no corrections) (eV for the cell shown) = -27.768
- energy relative to the lowest polymorph listed for this composition (kJ/mol of atoms) = 8.7
- formation energy from the elements (eV/atom) = 0.0538



No. 7
First-principles (PBE) data for a relaxed YTmZnTc crystal, as listed in Alexandria.

Cell lengths 4.9023, 4.9023, 4.9023 Å; angles 60.00, 60.00, 60.00 degrees
Sites, in units of the cell vectors:
Tc: 0.0000 0.0000 0.0000
Y: 0.7500 0.7500 0.7500
Zn: 0.5000 0.5000 0.5000
Tm: 0.2500 0.2500 0.2500

Output
- total DFT energy (no corrections) (eV for the cell shown) = -23.214
- formation energy from the elements (eV/atom) = -0.1597



No. 8
First-principles (PBE) data for a relaxed LiScSe2Br crystal, as listed in Alexandria.

Cell lengths 5.1449, 5.1449, 5.4859 Å; angles 90.00, 90.00, 90.00 degrees
Sites, in units of the cell vectors:
Br: 0.0000 0.0000 0.5000
Li: 0.5000 0.5000 0.5000
Se: 0.0000 0.5000 0.0000
Sc: 0.0000 0.0000 0.0000
Se: 0.5000 0.0000 0.0000

Output
- total DFT energy (no corrections) (eV for the cell shown) = -21.900
- energy relative to the lowest polymorph listed for this composition (kJ/mol of atoms) = 0.0



No. 9
First-principles (PBE) data for a relaxed Cr2GeAu crystal, as listed in Alexandria.

Cell lengths 6.9067, 6.9067, 5.5206 Å; angles 51.28, 51.28, 90.00 degrees
Sites, in units of the cell vectors:
Ge: 0.5000 0.5000 0.0000
Ge: 0.2500 0.7500 0.5000
Cr: 0.8750 0.8494 0.7500
Cr: 0.5994 0.1250 0.2500
Au: 0.7500 0.2500 0.5000
Cr: 0.3750 0.4006 0.7500
Cr: 0.1506 0.6250 0.2500
Au: 0.0000 0.0000 0.0000

Output
- total DFT energy (no corrections) (eV for the cell shown) = -48.958
- formation energy from the elements (eV/atom) = 0.6656



No. 10
First-principles (PBE) data for a relaxed CaCrPS2 crystal, as listed in Alexandria.

Cell lengths 4.7438, 4.7438, 4.4276 Å; angles 90.00, 90.00, 90.00 degrees
Site moments in Bohr magnetons follow the coordinates.
Sites, in units of the cell vectors:
Cr: 0.0000 0.0000 0.0000  2.14
S: 0.5000 0.0000 0.0000  0.03
P: 0.0000 0.0000 0.5000  -0.14
Ca: 0.5000 0.5000 0.5000  0.01
S: 0.0000 0.5000 0.0000  0.03

Output
- total DFT energy (no corrections) (eV for the cell shown) = -28.090
- energy relative to the lowest polymorph listed for this composition (kJ/mol of atoms) = 0.0



No. 11
First-principles (PBE) data for a relaxed Sc2BeNi crystal, as listed in Alexandria.

Cell lengths 4.0162, 3.4145, 5.1646 Å; angles 70.38, 90.00, 90.00 degrees
Sites, in units of the cell vectors:
Ni: 0.5000 0.5625 0.7480
Sc: 0.5000 0.2670 0.3429
Sc: 0.0000 0.9805 0.9122
Be: 0.0000 0.6900 0.4970

Output
- total DFT energy (no corrections) (eV for the cell shown) = -23.242
- formation energy from the elements (eV/atom) = -0.2679



No. 12
First-principles (PBE) data for a relaxed Cs3SnIr crystal, as listed in Alexandria.

Cell lengths 6.3163, 6.3163, 6.3163 Å; angles 90.00, 90.00, 90.00 degrees
Site moments in Bohr magnetons follow the coordinates.
Sites, in units of the cell vectors:
Ir: 0.0000 0.0000 0.0000  0.24
Cs: 0.5000 0.0000 0.0000  0.03
Cs: 0.0000 0.5000 0.0000  0.03
Cs: 0.0000 0.0000 0.5000  0.03
Sn: 0.5000 0.5000 0.5000  0.86

Output
- total DFT energy (no corrections) (eV for the cell shown) = -11.850
- formation energy from the elements (eV/atom) = 0.7148



no.,total magnetization (μB per formula unit)
1,0.0
2,0.6
3,0.0
4,0.0
5,0.0
6,4.8
7,0.0
8,0.0
9,0.0
10,2.2
11,0.0
12,3.1